Entry 1:
The following is a GGA-PBE calculation of crystalline LaCdHg2 at its relaxed geometry, from the Alexandria database.

Lattice parameters (Å, degrees): 3.8768 3.8810 7.1537 90.00 90.00 90.00
Fractional positions:
1 Cd 0.5000 0.5000 0.7811
2 Hg 0.0000 0.0000 0.9895
3 Hg 0.5000 0.5000 0.2347
4 La 0.0000 0.0000 0.4947

Entry 2:
The following is a GGA-PBE calculation of crystalline LaCd2Hg3 at its relaxed geometry, from the Alexandria database.

Lattice parameters (Å, degrees): 5.0262 5.0262 13.9879 90.00 90.00 120.00
Fractional positions:
1 La 0.0000 0.0000 0.2500
2 La 0.0000 0.0000 0.7500
3 Cd 0.6667 0.3333 0.4010
4 Cd 0.3333 0.6667 0.5990
5 Cd 0.3333 0.6667 0.9010
6 Cd 0.6667 0.3333 0.0990
7 Hg 0.0000 0.0000 0.5000
8 Hg 0.0000 0.0000 0.0000
9 Hg 0.6667 0.3333 0.6350
10 Hg 0.3333 0.6667 0.1350
11 Hg 0.6667 0.3333 0.8650
12 Hg 0.3333 0.6667 0.3650

Entry 3:
The following is a GGA-PBE calculation of crystalline La2CdHg6 at its relaxed geometry, from the Alexandria database.

Lattice parameters (Å, degrees): 5.8569 6.8423 6.8426 59.97 89.97 89.97
Fractional positions:
1 La 0.8105 0.6666 0.6666
2 La 0.1895 0.3334 0.3334
3 Cd 0.0000 0.0000 0.0000
4 Hg 0.3168 0.3667 0.8167
5 Hg 0.3167 0.8165 0.8165
6 Hg 0.3168 0.8167 0.3668
7 Hg 0.6832 0.6333 0.1833
8 Hg 0.6833 0.1835 0.1835
9 Hg 0.6832 0.1833 0.6332

Entry 4:
The following is a GGA-PBE calculation of crystalline La2CdHg2 at its relaxed geometry, from the Alexandria database.

Lattice parameters (Å, degrees): 9.1547 9.1547 3.6796 90.00 90.00 90.00
Fractional positions:
1 Cd 0.0000 0.0000 0.0000
2 Cd 0.5000 0.5000 0.0000
3 Hg 0.1284 0.6284 0.5000
4 Hg 0.6284 0.8716 0.5000
5 Hg 0.8716 0.3716 0.5000
6 Hg 0.3716 0.1284 0.5000
7 La 0.3315 0.8315 0.0000
8 La 0.8315 0.6685 0.0000
9 La 0.6685 0.1685 0.0000
10 La 0.1685 0.3315 0.0000

Entry 5:
The following is a GGA-PBE calculation of crystalline La6CdHg5 at its relaxed geometry, from the Alexandria database.

Lattice parameters (Å, degrees): 5.5251 7.8645 9.5772 114.24 106.77 90.00
Fractional positions:
1 Cd 0.0000 0.0000 0.0000
2 Hg 0.6626 0.1626 0.3251
3 Hg 0.3337 0.3337 0.6674
4 Hg 0.0000 0.5000 0.0000
5 Hg 0.6663 0.6663 0.3326
6 Hg 0.3374 0.8374 0.6749
7 La 0.8320 0.5808 0.6641
8 La 0.8321 0.0833 0.6641
9 La 0.5000 0.7473 0.0000
10 La 0.5000 0.2527 0.0000
11 La 0.1679 0.9167 0.3359
12 La 0.1680 0.4192 0.3359

Entry 6:
The following is a GGA-PBE calculation of crystalline LaCdHg2 at its relaxed geometry, from the Alexandria database.

Lattice parameters (Å, degrees): 4.8111 4.8111 10.9018 77.25 77.25 90.00
Fractional positions:
1 Cd 0.5000 0.5000 0.0000
2 Cd 0.2500 0.7500 0.5000
3 Hg 0.5743 0.1250 0.2500
4 Hg 0.1757 0.6250 0.2500
5 Hg 0.3750 0.4257 0.7500
6 Hg 0.8750 0.8243 0.7500
7 La 0.0000 0.0000 0.0000
8 La 0.7500 0.2500 0.5000

Entry 7:
The following is a GGA-PBE calculation of crystalline LaCd2Hg at its relaxed geometry, from the Alexandria database.

Lattice parameters (Å, degrees): 5.1489 3.5259 5.9991 90.01 90.00 90.00
Fractional positions:
1 Cd 0.0000 0.2498 0.0000
2 Cd 0.0000 0.2502 0.5000
3 Hg 0.5000 0.2500 0.2500
4 La 0.5000 0.7500 0.7500

Entry 8:
The following is a GGA-PBE calculation of crystalline La6Cd2Hg at its relaxed geometry, from the Alexandria database.

Lattice parameters (Å, degrees): 5.6500 5.6499 10.6051 90.01 90.00 120.00
Fractional positions:
1 La 0.6666 0.3333 0.9846
2 La 0.3334 0.6667 0.0154
3 La 0.9999 0.9998 0.1785
4 La 0.3333 0.6665 0.3878
5 La 0.0001 0.0002 0.8215
6 La 0.6667 0.3335 0.6122
7 Cd 0.3334 0.6669 0.7090
8 Cd 0.6666 0.3331 0.2910
9 Hg 0.0000 0.0000 0.5000

Entry 9:
The following is a GGA-PBE calculation of crystalline LaCdHg5 at its relaxed geometry, from the Alexandria database.

Lattice parameters (Å, degrees): 5.0286 5.0286 7.4917 90.00 90.00 90.00
Fractional positions:
1 La 0.0000 0.0000 0.0000
2 Cd 0.0000 0.0000 0.5000
3 Hg 0.5000 0.0000 0.7144
4 Hg 0.0000 0.5000 0.7144
5 Hg 0.5000 0.5000 0.0000
6 Hg 0.0000 0.5000 0.2856
7 Hg 0.5000 0.0000 0.2856

Entry 10:
The following is a GGA-PBE calculation of crystalline La2CdHg5 at its relaxed geometry, from the Alexandria database.

Lattice parameters (Å, degrees): 4.4734 9.5763 10.4998 90.00 90.00 103.51
Fractional positions:
1 La 0.8032 0.6064 0.7500
2 La 0.1968 0.3936 0.2500
3 La 0.0000 0.0000 0.0000
4 La 0.0000 0.0000 0.5000
5 Cd 0.4573 0.9146 0.7500
6 Cd 0.5427 0.0854 0.2500
7 Hg 0.2010 0.4020 0.8984
8 Hg 0.7990 0.5980 0.1016
9 Hg 0.2010 0.4020 0.6016
10 Hg 0.7990 0.5980 0.3984
11 Hg 0.3663 0.7325 0.9659
12 Hg 0.6337 0.2675 0.0341
13 Hg 0.3663 0.7325 0.5341
14 Hg 0.6337 0.2675 0.4659
15 Hg 0.6072 0.2144 0.7500
16 Hg 0.3928 0.7856 0.2500

Entry 11:
The following is a GGA-PBE calculation of crystalline La2CdHg2 at its relaxed geometry, from the Alexandria database.

Lattice parameters (Å, degrees): 5.0375 6.3300 10.2540 73.46 75.78 66.55
Fractional positions:
1 La 0.3277 0.2633 0.0812
2 La 0.5321 0.2901 0.6457
3 La 0.6723 0.7367 0.9188
4 La 0.4679 0.7099 0.3543
5 Cd 0.7715 0.1363 0.3207
6 Cd 0.2285 0.8637 0.6793
7 Hg 0.9689 0.1941 0.8682
8 Hg 0.1378 0.3134 0.4111
9 Hg 0.0311 0.8059 0.1318
10 Hg 0.8622 0.6866 0.5889

Entry 12:
The following is a GGA-PBE calculation of crystalline La2Cd5Hg at its relaxed geometry, from the Alexandria database.

Lattice parameters (Å, degrees): 4.7885 9.2938 10.0044 90.00 90.00 104.93
Fractional positions:
1 La 0.8015 0.6031 0.7500
2 La 0.1985 0.3969 0.2500
3 La 0.0000 0.0000 0.0000
4 La 0.0000 0.0000 0.5000
5 Cd 0.1895 0.3790 0.8945
6 Cd 0.8105 0.6210 0.1055
7 Cd 0.1895 0.3790 0.6055
8 Cd 0.8105 0.6210 0.3945
9 Cd 0.3523 0.7045 0.9713
10 Cd 0.6477 0.2955 0.0287
11 Cd 0.3523 0.7045 0.5287
12 Cd 0.6477 0.2955 0.4713
13 Cd 0.6053 0.2106 0.7500
14 Cd 0.3947 0.7894 0.2500
15 Hg 0.4505 0.9009 0.7500
16 Hg 0.5495 0.0991 0.2500

Number 1: mass density 10.07 g/cm3, energy -1.87 eV/atom. Number 2: mass density 10.48 g/cm3, energy -1.55 eV/atom. Number 3: mass density 11.15 g/cm3, energy -1.74 eV/atom. Number 4: mass density 8.52 g/cm3, energy -2.56 eV/atom. Number 5: mass density 8.99 g/cm3, energy -3.14 eV/atom. Number 6: mass density 9.04 g/cm3, energy -1.77 eV/atom. Number 7: mass density 8.60 g/cm3, energy -2.02 eV/atom. Number 8: mass density 7.13 g/cm3, energy -3.75 eV/atom. Number 9: mass density 10.99 g/cm3, energy -1.30 eV/atom. Number 10: mass density 10.58 g/cm3, energy -1.85 eV/atom. Number 11: mass density 9.25 g/cm3, energy -2.69 eV/atom. Number 12: mass density 8.03 g/cm3, energy -2.15 eV/atom.